Entry from the Alexandria database: LaWIO2 after structural relaxation (PBE with a Hubbard U).

Summary:
Its electronic total energy is -5.705 eV per atom.

a = 4.236 Å, b = 4.236 Å, c = 5.855 Å
α = 90.00°, β = 90.00°, γ = 90.00°
Fractional coordinates of all 5 atoms:
La1 0.000 0.000 0.000
W1 0.500 0.500 0.500
I1 0.500 0.500 0.000
O1 0.000 0.500 0.500
O2 0.500 0.000 0.500